## K2HgRh (PBE)

Data for K2HgRh after structural relaxation.

abc: 6.078 6.078 6.078
angles: 137.16 136.93 62.36
Fractional positions:
Hg  0.250  0.750  0.500
K  0.000  0.000  0.000
K  0.500  0.500  0.000
Rh  0.750  0.250  0.500

Values from the calculation:
- formation energy (meV/atom) = 388
- total energy (hartree per atom) = -0.0762
- D(E_F) (states/eV per atom) = 0.5088
- total magnetization (μB/f.u.) = 0.00
- symmetry = Immm (71)